Here is crystalline BaLa3Cu at its relaxed geometry from the Alexandria database. Energies are from GGA-PBE.

```
BaLa3Cu
1.0
-4.572 0.828 3.650
0.266 -5.676 1.620
3.733 1.418 4.355
Ba Cu La
1 1 3
Direct
0.000 0.000 0.000
0.500 0.500 0.500
0.000 0.500 0.000
0.000 0.000 0.500
0.500 0.000 0.000
```

Results
For the formation energy, the calculation gives 1.09 eV/atom. The value obtained for the density of states at the Fermi level is 0.274 states/eV per atom. The final energy comes out at -3.07 eV/atom. Its calculated density is 4.97 g cm⁻³.

=====

Here is crystalline BaLaCu2 at its relaxed geometry from the Alexandria database. Energies are from GGA-PBE.

```
BaLaCu2
1.0
-7.512 2.345 0.661
-7.478 -1.978 1.593
-6.290 0.959 4.679
Ba Cu La
1 2 1
Direct
0.750 0.750 0.750
0.988 0.988 0.988
0.512 0.512 0.512
0.250 0.250 0.250
```

Results
For the formation energy, the calculation gives 0.09 eV/atom. The value obtained for the density of states at the Fermi level is 0.848 states/eV per atom. The final energy comes out at -3.67 eV/atom. Its calculated density is 5.29 g cm⁻³.

=====

Here is crystalline BaLaCu2 at its relaxed geometry from the Alexandria database. Energies are from GGA-PBE.

```
BaLaCu2
1.0
0.000 3.791 3.791
3.791 0.000 3.791
3.791 3.791 0.000
Ba Cu La
1 2 1
Direct
0.000 0.000 0.000
0.250 0.250 0.250
0.750 0.750 0.750
0.500 0.500 0.500
```

Results
For the formation energy, the calculation gives 0.06 eV/atom. The value obtained for the density of states at the Fermi level is 1.223 states/eV per atom. The final energy comes out at -3.70 eV/atom. Its calculated density is 6.14 g cm⁻³.

=====

Here is crystalline BaLaCu2 at its relaxed geometry from the Alexandria database. Energies are from GGA-PBE.

```
BaLaCu2
1.0
-5.303 3.999 2.900
-1.750 -5.500 4.384
4.620 2.507 4.990
Ba Cu La
4 8 4
Direct
0.500 0.000 0.000
0.000 0.500 0.000
0.000 0.000 0.500
0.500 0.500 0.500
0.000 0.000 0.000
0.500 0.500 0.000
0.500 0.000 0.500
0.000 0.500 0.500
0.750 0.250 0.250
0.250 0.750 0.250
0.250 0.250 0.750
0.750 0.750 0.750
0.250 0.250 0.250
0.750 0.750 0.250
0.750 0.250 0.750
0.250 0.750 0.750
```

Results
For the formation energy, the calculation gives 0.22 eV/atom. The value obtained for the density of states at the Fermi level is 0.874 states/eV per atom. The final energy comes out at -3.54 eV/atom. Its calculated density is 7.04 g cm⁻³.

=====

Here is crystalline BaLaCu at its relaxed geometry from the Alexandria database. Energies are from GGA-PBE.

```
BaLaCu
1.0
5.318 0.000 0.000
2.659 4.605 0.000
2.659 1.535 4.342
Ba Cu La
1 1 1
Direct
0.500 0.500 0.500
0.750 0.750 0.750
0.000 0.000 0.000
```

Results
For the formation energy, the calculation gives 0.24 eV/atom. The value obtained for the density of states at the Fermi level is 1.910 states/eV per atom. The final energy comes out at -3.41 eV/atom. Its calculated density is 5.31 g cm⁻³.

=====

Here is crystalline BaLaCu2 at its relaxed geometry from the Alexandria database. Energies are from GGA-PBE.

```
BaLaCu2
1.0
-1.296 -3.030 1.441
3.238 -0.725 1.389
-2.103 4.298 7.145
Ba Cu La
1 2 1
Direct
0.500 0.500 0.824
0.000 0.000 0.077
0.500 0.500 0.195
0.000 0.000 0.404
```

Results
For the formation energy, the calculation gives 0.11 eV/atom. The value obtained for the density of states at the Fermi level is 0.703 states/eV per atom. The final energy comes out at -3.65 eV/atom. Its calculated density is 6.02 g cm⁻³.

=====

Here is crystalline BaLaCu2 at its relaxed geometry from the Alexandria database. Energies are from GGA-PBE.

```
BaLaCu2
1.0
-0.815 0.693 8.421
-0.353 -4.379 -3.122
2.636 -1.675 2.052
Ba Cu La
1 2 1
Direct
0.500 0.500 0.000
0.000 0.000 0.000
0.500 0.000 0.500
0.000 0.500 0.500
```

Results
For the formation energy, the calculation gives 0.03 eV/atom. The value obtained for the density of states at the Fermi level is 0.962 states/eV per atom. The final energy comes out at -3.73 eV/atom. Its calculated density is 6.17 g cm⁻³.

=====

Here is crystalline BaLaCu2 at its relaxed geometry from the Alexandria database. Energies are from GGA-PBE.

```
BaLaCu2
1.0
6.451 0.573 0.000
3.040 5.718 0.000
-4.745 -3.146 3.086
Ba Cu La
1 2 1
Direct
0.750 0.250 0.500
0.000 0.000 0.000
0.250 0.750 0.500
0.500 0.500 0.000
```

Results
For the formation energy, the calculation gives 0.22 eV/atom. The value obtained for the density of states at the Fermi level is 1.397 states/eV per atom. The final energy comes out at -3.54 eV/atom. Its calculated density is 6.17 g cm⁻³.

=====

Here is crystalline BaLaCu3 at its relaxed geometry from the Alexandria database. Energies are from GGA-PBE.

```
BaLaCu3
1.0
-1.172 1.508 5.010
4.279 -2.679 1.807
3.011 4.393 -0.617
Ba Cu La
1 3 1
Direct
0.000 0.000 0.000
0.000 0.500 0.000
0.000 0.000 0.500
0.500 0.000 0.000
0.500 0.500 0.500
```

Results
For the formation energy, the calculation gives 0.84 eV/atom. The value obtained for the density of states at the Fermi level is 0.770 states/eV per atom. The final energy comes out at -2.99 eV/atom. Its calculated density is 5.03 g cm⁻³.

=====

Here is crystalline BaLaCu2 at its relaxed geometry from the Alexandria database. Energies are from GGA-PBE.

```
BaLaCu2
1.0
-4.520 1.771 6.490
-6.224 -4.066 -3.226
-4.167 -4.353 3.346
Ba Cu La
2 4 2
Direct
0.500 0.500 0.000
0.250 0.750 0.500
0.656 0.125 0.250
0.094 0.625 0.250
0.375 0.344 0.750
0.875 0.906 0.750
0.000 0.000 0.000
0.750 0.250 0.500
```

Results
For the formation energy, the calculation gives 0.27 eV/atom. The value obtained for the density of states at the Fermi level is 0.688 states/eV per atom. The final energy comes out at -3.49 eV/atom. Its calculated density is 5.32 g cm⁻³.

=====

Here is crystalline BaLa3Cu at its relaxed geometry from the Alexandria database. Energies are from GGA-PBE.

```
BaLa3Cu
1.0
5.833 0.000 0.000
0.000 5.833 0.000
0.000 0.000 5.833
Ba Cu La
1 1 3
Direct
0.500 0.500 0.500
0.000 0.000 0.000
0.000 0.500 0.000
0.000 0.000 0.500
0.500 0.000 0.000
```

Results
For the formation energy, the calculation gives 0.12 eV/atom. The value obtained for the density of states at the Fermi level is 2.107 states/eV per atom. The final energy comes out at -4.04 eV/atom. Its calculated density is 5.17 g cm⁻³.

=====

Here is crystalline BaLaCu4 at its relaxed geometry from the Alexandria database. Energies are from GGA-PBE.

```
BaLaCu4
1.0
-4.432 3.031 1.424
-2.827 2.784 -3.888
-5.092 -1.669 -1.461
Ba La Cu
1 1 4
Direct
0.000 0.000 0.000
0.750 0.750 0.750
0.867 0.378 0.378
0.378 0.378 0.867
0.378 0.867 0.378
0.378 0.378 0.378
```

Results
For the formation energy, the calculation gives 0.09 eV/atom. The value obtained for the density of states at the Fermi level is 0.602 states/eV per atom. The final energy comes out at -3.78 eV/atom. Its calculated density is 7.27 g cm⁻³.

=====

Which of these has the highest calculated density?
BaLaCu4